Record 1
Here is crystalline Mg2SnPd8 at its relaxed geometry from the Alexandria database. Energies are from PBE-GGA.

The structure in POSCAR format:
```
Mg2SnPd8
1.0
4.119 0.000 0.000
0.000 6.223 0.331
-2.060 -2.242 6.752
Pd Mg Sn
8 2 1
direct
0.405 0.542 0.810
0.959 0.272 0.918
0.145 0.196 0.291
0.041 0.728 0.082
0.855 0.804 0.709
0.679 0.915 0.358
0.321 0.085 0.642
0.595 0.458 0.190
0.779 0.347 0.558
0.221 0.653 0.442
0.500 0.000 0.000
```

Calculated values
The magnetic moment is 0.0 μB per cell. As for the symmetry: No. 12. The raw total energy comes out at -4.930 eV/atom. For the offset from the most stable computed form, the calculation gives 0 meV per atom. The value obtained for the energy of formation from the pure elements is -0.499 eV per atom.



Record 2
Here is crystalline NbV2Cu2 at its relaxed geometry from the Alexandria database. Energies are from PBE-GGA.

The structure in POSCAR format:
```
NbV2Cu2
1.0
-1.702 -3.127 6.460
7.121 0.085 1.918
-0.311 2.340 1.051
V Cu Nb
4 4 2
direct
0.177 0.677 0.500
0.677 0.823 0.500
0.323 0.177 0.500
0.823 0.323 0.500
0.381 0.881 0.000
0.119 0.381 0.000
0.619 0.119 0.000
0.881 0.619 0.000
0.000 0.000 0.000
0.500 0.500 0.000
```

Calculated values
The magnetic moment is 0.0 μB per cell. As for the symmetry: No. 127. The raw total energy comes out at -7.085 eV/atom. For the offset from the most stable computed form, the calculation gives 0 meV per atom. The value obtained for the energy of formation from the pure elements is 0.215 eV per atom.



Record 3
Here is crystalline Re2AgSnOs at its relaxed geometry from the Alexandria database. Energies are from PBE-GGA.

The structure in POSCAR format:
```
Re2AgSnOs
1.0
-1.519 -3.157 3.315
4.397 -0.336 1.694
-0.896 3.631 3.046
Os Sn Re Ag
1 1 2 1
direct
0.500 0.500 0.500
0.000 0.500 0.000
0.000 0.000 0.500
0.500 0.000 0.000
0.000 0.000 0.000
```

Calculated values
The magnetic moment is 4.6 μB per cell. As for the symmetry: No. 123. The raw total energy comes out at -5.637 eV/atom. The value obtained for the energy of formation from the pure elements is 2.959 eV per atom.